[1]
Entry from Alexandria: a relaxed LiY2Fe crystal (PBE-GGA).

Summary:
**ΔH_f (0 K)**: 6.7 kJ per mole of atoms

Cell and atoms, written as CIF:
```
data_LiY2Fe
_cell_length_a 3.3607
_cell_length_b 3.3607
_cell_length_c 8.0928
_cell_angle_alpha 90.00
_cell_angle_beta 90.00
_cell_angle_gamma 90.00
_symmetry_space_group_name_H-M 'P 4/m m m'
_symmetry_Int_Tables_number 123
_symmetry_space_group_name_Hall '-P 4 2'
loop_
_atom_site_label
_atom_site_fract_x
_atom_site_fract_y
_atom_site_fract_z
Li1 0.0000 0.0000 0.0000
Y1 0.5000 0.5000 0.3003
Fe1 0.0000 0.0000 0.5000
```

[2]
Entry from Alexandria: a relaxed TmThNi2 crystal (PBE-GGA).

Summary:
**ΔH_f (0 K)**: -35.6 kJ per mole of atoms

Cell and atoms, written as CIF:
```
data_TmThNi2
_cell_length_a 4.8342
_cell_length_b 4.8342
_cell_length_c 3.4183
_cell_angle_alpha 90.00
_cell_angle_beta 90.00
_cell_angle_gamma 90.00
_symmetry_space_group_name_H-M 'P 4/m m m'
_symmetry_Int_Tables_number 123
_symmetry_space_group_name_Hall '-P 4 2'
loop_
_atom_site_label
_atom_site_fract_x
_atom_site_fract_y
_atom_site_fract_z
Tm1 0.0000 0.0000 0.0000
Th1 0.5000 0.5000 0.0000
Ni1 0.0000 0.5000 0.5000
```

[3]
Entry from Alexandria: a relaxed SiMo2Au crystal (PBE-GGA).

Summary:
**Formation energy (no corrections)**: 0.1815 eV per atom

Cell and atoms, written as CIF:
```
data_SiMo2Au
_cell_length_a 2.8302
_cell_length_b 2.8302
_cell_length_c 27.1439
_cell_angle_alpha 90.00
_cell_angle_beta 90.00
_cell_angle_gamma 120.00
_symmetry_space_group_name_H-M 'R -3 m'
_symmetry_Int_Tables_number 166
_symmetry_space_group_name_Hall '-R 3 2"'
loop_
_atom_site_label
_atom_site_fract_x
_atom_site_fract_y
_atom_site_fract_z
Si1 0.0000 0.0000 0.0000
Mo1 0.0000 0.0000 0.2554
Au1 0.0000 0.0000 0.5000
```

Q: Which density of states at the Fermi level values were calculated for the entries above? A: 0.70 0.94 1.15, in states/eV per atom.
Q: Which total energy values were calculated for the entries above? A: -5.76 -6.23 -7.41, in eV per atom.